[1]
A plane-wave DFT calculation with PBE-GGA was carried out for crystalline PmPr2UAs4 at its relaxed geometry.

Cell and atoms, written as POSCAR:
```
PmPr2UAs4
1.0
4.214 0.000 0.000
0.000 7.327 0.149
0.000 -2.541 6.876
Pm Pr U As
1 2 1 4
Cartesian
0.000 0.000 0.000
2.107 -1.270 3.438
0.000 2.393 3.512
2.107 3.664 0.074
2.107 1.262 1.682
2.107 3.525 5.342
0.000 -0.034 5.284
0.000 4.821 1.740
```

Summary:
Magnetization ... 2.3 μB per cell
Density of states at the Fermi level ... 1.081 states/eV per atom
DFT formation energy ... -1.309 eV/atom
Symmetry ... No. 10


[2]
A plane-wave DFT calculation with PBE-GGA was carried out for crystalline BaYP2Se8 at its relaxed geometry.

Cell and atoms, written as POSCAR:
```
BaYP2Se8
1.0
-4.524 3.512 -2.670
-0.103 -1.085 6.225
5.302 7.948 1.473
Ba Y P Se
1 1 2 8
Cartesian
0.000 0.000 0.000
2.651 3.974 0.736
-1.744 3.938 0.658
2.419 6.437 4.370
3.631 8.255 4.706
0.062 3.258 1.819
-1.333 3.630 4.831
-2.956 2.121 0.321
2.008 6.745 0.196
0.612 7.118 3.208
-0.785 8.546 0.531
1.460 1.829 4.496
```

Summary:
E_form (uncorrected) ... -702 meV/atom
Magnetization ... 0.0 μB per cell
Density of states at the Fermi level ... 0.940 states/eV per atom
Symmetry ... No. 147


[3]
A plane-wave DFT calculation with PBE-GGA was carried out for crystalline Cr2InPt at its relaxed geometry.

Cell and atoms, written as POSCAR:
```
Cr2InPt
1.0
-2.263 -1.068 3.317
-2.149 -2.686 -2.331
2.520 -2.743 0.837
Cr In Pt
2 1 1
Cartesian
0.000 0.000 0.000
-2.206 -1.877 0.493
0.128 -1.905 2.077
0.185 -2.714 -0.747
```

Summary:
Magnetization ... 6.9 μB per cell
Density of states at the Fermi level ... 0.917 states/eV per atom
DFT formation energy ... 0.124 eV/atom
Symmetry ... No. 123


[4]
A plane-wave DFT calculation with PBE-GGA was carried out for crystalline Mg3SiAs at its relaxed geometry.

Cell and atoms, written as POSCAR:
```
Mg3SiAs
1.0
-0.020 4.159 2.676
-2.571 -2.295 3.547
4.225 -1.377 2.172
Mg As Si
3 1 1
Cartesian
-1.286 -1.148 1.774
2.113 -0.689 1.086
-0.010 2.080 1.338
0.000 0.000 0.000
0.817 0.244 4.198
```

Summary:
E_form (uncorrected) ... 202 meV/atom
Magnetization ... 0.0 μB per cell
Energy above the most stable polymorph in this dataset ... 0.048 eV/atom
Density of states at the Fermi level ... 1.088 states/eV per atom
Symmetry ... No. 221


[5]
A plane-wave DFT calculation with PBE-GGA was carried out for crystalline Pm2Pr3Sm7 at its relaxed geometry.

Cell and atoms, written as POSCAR:
```
Pm2Pr3Sm7
1.0
3.642 0.000 0.000
0.000 5.970 0.276
0.000 -1.918 19.144
Pm Pr Sm
2 3 7
Cartesian
1.821 3.677 5.827
1.821 0.375 13.593
1.821 2.985 0.138
0.000 0.611 7.085
0.000 3.441 12.335
1.821 3.547 9.073
1.821 0.505 10.347
0.000 3.834 2.946
0.000 0.000 0.000
0.000 0.217 16.474
1.821 3.252 16.002
1.821 0.799 3.417
```

Summary:
Magnetization ... 0.0 μB per cell
Energy above the most stable polymorph in this dataset ... 0.000 eV/atom
Density of states at the Fermi level ... 1.337 states/eV per atom
DFT formation energy ... 0.081 eV/atom
Symmetry ... No. 10


[6]
A plane-wave DFT calculation with PBE-GGA was carried out for crystalline P2CSeCl at its relaxed geometry.

Cell and atoms, written as POSCAR:
```
P2CSeCl
1.0
4.938 0.000 0.000
0.000 4.938 0.000
0.000 0.000 4.847
P C Se Cl
2 1 1 1
Cartesian
0.000 2.469 0.000
2.469 0.000 0.000
2.469 2.469 2.424
0.000 0.000 0.000
0.000 0.000 2.424
```

Summary:
E_form (uncorrected) ... 2208 meV/atom
Magnetization ... 0.1 μB per cell
Energy above the most stable polymorph in this dataset ... 0.929 eV/atom
Density of states at the Fermi level ... 0.802 states/eV per atom
Symmetry ... No. 123